Record 1
Computed, not measured: PmMg3Cu2 after structural relaxation at the GGA-PBE level of DFT.

The energy relative to the elements comes out at -0.095 eV/atom.

```
PmMg3Cu2
1.0
8.1920 -2.1535 0.0000
8.1920 2.1535 0.0000
-4.1535 0.0000 7.1671
Pm Mg Cu
2 6 4
Direct
0.1356 0.1356 0.1974 Pm
0.8644 0.8644 0.8026 Pm
0.0427 0.0427 0.7071 Mg
0.3160 0.3160 0.0895 Mg
0.3809 0.3809 0.5003 Mg
0.6191 0.6191 0.4997 Mg
0.6840 0.6840 0.9105 Mg
0.9573 0.9573 0.2929 Mg
0.2119 0.2119 0.7086 Cu
0.4879 0.4879 0.1322 Cu
0.5121 0.5121 0.8678 Cu
0.7881 0.7881 0.2914 Cu
```

---

Record 2
Computed, not measured: KFeSi after structural relaxation at the GGA-PBE level of DFT.

As for the formation energy without anion corrections: 311 meV per atom.

```
KFeSi
1.0
3.2598 0.0000 0.0000
0.0000 3.2598 0.0000
0.0000 0.0000 12.1829
K Fe Si
2 2 2
Direct
0.0000 0.0000 0.0000 K
0.5000 0.5000 0.5000 K
0.0000 0.0000 0.2607 Fe
0.5000 0.5000 0.7607 Fe
0.0000 0.0000 0.7372 Si
0.5000 0.5000 0.2372 Si
```

---

Repeat the second record exactly.
Computed, not measured: KFeSi after structural relaxation at the GGA-PBE level of DFT.

As for the formation energy without anion corrections: 311 meV per atom.

```
KFeSi
1.0
3.2598 0.0000 0.0000
0.0000 3.2598 0.0000
0.0000 0.0000 12.1829
K Fe Si
2 2 2
Direct
0.0000 0.0000 0.0000 K
0.5000 0.5000 0.5000 K
0.0000 0.0000 0.2607 Fe
0.5000 0.5000 0.7607 Fe
0.0000 0.0000 0.7372 Si
0.5000 0.5000 0.2372 Si
```